(1)
Density functional theory data (PBE) for a relaxed NaZnCd2Ga crystal.

The structure belongs to space group P4/mmm (No. 123); the cell edges are 5.174, 5.174 and 4.915 Å and the angles 90.00°, 90.00° and 90.00°. The inequivalent atoms are Na at (0.000, 0.000, 0.000), Zn at (0.500, 0.500, 0.500), Cd at (0.000, 0.500, 0.500) and Ga at (0.500, 0.500, 0.000).

The density of states at the Fermi level comes out at 1.6 states/eV per cell. The value obtained for the raw total energy is -1.37 eV/atom. Its total magnetic moment is 0.0000 μB per atom. For the energy of formation, the calculation gives 0.1229 eV per atom. The mass density comes out at 4.83 Mg/m³.

(2)
Density functional theory data (PBE) for a relaxed NaZnCdGa crystal.

The structure belongs to space group F-43m (No. 216); the cell edges are 6.882, 6.882 and 6.882 Å and the angles 90.00°, 90.00° and 90.00°. The inequivalent atoms are Na at (0.000, 0.000, 0.000), Zn at (0.250, 0.250, 0.750), Cd at (0.250, 0.250, 0.250) and Ga at (0.000, 0.000, 0.500).

The density of states at the Fermi level comes out at 7.2 states/eV per cell. The value obtained for the raw total energy is -1.61 eV/atom. Its total magnetic moment is 0.0000 μB per atom. For the energy of formation, the calculation gives 0.0219 eV per atom. The mass density comes out at 5.51 Mg/m³.

(3)
Density functional theory data (PBE) for a relaxed Nb2CdGa crystal.

The structure belongs to space group I-42d (No. 122); the cell edges are 7.439, 7.439 and 5.605 Å and the angles 90.00°, 90.00° and 90.00°. The inequivalent atoms are Nb at (0.234, 0.250, 0.125), Cd at (0.000, 0.000, 0.500) and Ga at (0.000, 0.000, 0.000).

The density of states at the Fermi level comes out at 12.4 states/eV per cell. The value obtained for the raw total energy is -5.65 eV/atom. Its total magnetic moment is 0.0000 μB per atom. For the energy of formation, the calculation gives 0.3720 eV per atom. The mass density comes out at 7.88 Mg/m³.